Crystalline Ba2PmAu at its relaxed geometry. Source: the Alexandria database, functional PBE-GGA.

abc: 4.0796 4.0796 36.0784
angles: 90.00 90.00 120.00
Closest atoms and distances in Å follow each position.
Space group R-3m (No. 166, hexagonal axes)
Symmetry-distinct sites (fractional):
Ba 0.0000 0.0000 0.1049 x6  3 Au 3.24
Pm 0.0000 0.0000 0.0000 x3  2 Ba 3.79, 6 Pm 4.08
Au 0.0000 0.0000 0.5000 x3  6 Ba 3.24

Values from the calculation:
M_tot	0.6	μB per formula unit
energy	-35.3	eV for the cell shown

=====

Crystalline MnCdTe2Au at its relaxed geometry. Source: the Alexandria database, functional PBE-GGA.

abc: 5.5777 5.5777 5.0907
angles: 90.00 90.00 90.00
Closest atoms and distances in Å follow each position.
Space group P4/mmm (No. 123)
Symmetry-distinct sites (fractional):
Mn 0.0000 0.0000 0.0000 x1  8 Te 3.78, 4 Cd 3.94
Cd 0.5000 0.5000 0.0000 x1  2 Au 2.55
Te 0.0000 0.5000 0.5000 x2  2 Au 2.79
Au 0.5000 0.5000 0.5000 x1  2 Cd 2.55, 4 Te 2.79

Values from the calculation:
M_tot	5.1	μB per formula unit
energy	-16.7	eV for the cell shown
formation energy from raw total energies	0.58	eV/atom

=====

Crystalline DyScU2P4 at its relaxed geometry. Source: the Alexandria database, functional PBE-GGA.

abc: 6.7458 3.8990 6.8341
angles: 90.00 109.23 90.00
Closest atoms and distances in Å follow each position.
Space group P2/m (No. 10)
Symmetry-distinct sites (fractional):
Dy 0.0000 0.0000 0.0000 x1  6 P 2.79
Sc 0.5000 0.5000 0.0000 x1  6 P 2.73
U 0.0000 0.5000 0.5000 x1  6 P 2.81
U 0.5000 0.0000 0.5000 x1  6 P 2.75
P 0.2570 0.5000 0.2495 x2  1 Sc 2.73, 3 U 2.75-2.81, 2 Dy 2.79
P 0.2587 0.0000 0.7552 x2  2 Sc 2.73, 3 U 2.75-2.81, 1 Dy 2.79

Values from the calculation:
M_tot	4.6	μB per formula unit
energy	-65.2	eV for the cell shown